[1]
8
Lattice="7.207 0.000 0.000 0.000 4.156 0.000 -2.404 0.000 7.469" Properties=species:S:1:pos:R:3 comment="PBE PrPuTl2S4, relaxed" formation_energy_uncorrected_kj_per_mol_fu=-1014 dos_at_fermi_per_ev_fu=10.74 total_magnetization_mub_per_cell=5.0 spacegroup="P2/m, No. 10" pbc="T T T"
Pr 0.000 0.000 0.000
Pu 3.603 2.078 0.000
Tl -1.202 2.078 3.734
Tl 2.401 0.000 3.734
S 1.250 2.078 1.526
S 0.063 0.000 5.993
S 4.739 0.000 1.475
S 3.553 2.078 5.943

[2]
4
Lattice="0.000 3.353 3.353 3.353 0.000 3.353 3.353 3.353 0.000" Properties=species:S:1:pos:R:3 comment="PBE LuAsPdAu, relaxed" dos_at_fermi_per_ev_fu=3.27 total_magnetization_mub_per_cell=0.0 delta_e_f_mev_per_atom=-665.6 spacegroup="F-43m, No. 216" pbc="T T T"
Lu 0.000 0.000 0.000
As 1.677 1.677 1.677
Pd 3.353 3.353 3.353
Au 5.030 5.030 5.030

The evaluated E for the records listed, in turn: -50.9; -20.3 eV for the cell shown.